No. 1
{
  "formula": "CaAgP",
  "functional": "PBE",
  "state": "optimized geometry",
  "density_g_cm3": 3.709,
  "magmom_total_mub_per_fu": 0.00,
  "vol_a3_per_cell": 240.3,
  "delta_e_f_mev_per_atom": -293.5,
  "lattice": [[1.3040, 3.9496, 6.8162], [-7.4684, -1.6597, -2.2867], [0.1798, -3.7775, 2.1545]],
  "species": ["P", "P", "P", "Ca", "Ca", "Ca", "Ag", "Ag", "Ag"],
  "frac_coords": [[0.0000, 0.3832, 0.5000], [0.6168, 0.6168, 0.5000], [0.3832, 0.0000, 0.5000], [0.6667, 0.3333, 0.0000], [0.3333, 0.6667, 0.0000], [0.0000, 0.0000, 0.5000], [0.0000, 0.2558, 0.0000], [0.2558, 0.0000, 0.0000], [0.7442, 0.7442, 0.0000]]
}

---

No. 2
{
  "formula": "Pm2SnBi",
  "functional": "PBE",
  "state": "optimized geometry",
  "density_g_cm3": 8.757,
  "magmom_total_mub_per_fu": 0.00,
  "vol_a3_per_cell": 117.1,
  "delta_e_f_mev_per_atom": -651.7,
  "lattice": [[4.4945, 0.0000, 0.0000], [0.0000, 5.1048, 0.0000], [0.0000, 0.0000, 5.1048]],
  "species": ["Bi", "Pm", "Pm", "Sn"],
  "frac_coords": [[0.5000, 0.5000, 0.5000], [0.0000, 0.5000, 0.0000], [0.0000, 0.0000, 0.5000], [0.5000, 0.0000, 0.0000]]
}